Entry 1:
# Pm2SmDySb4, optimized geometry, DFT PBE
# **Formation energy without anion corrections**: -1.169 eV/atom
# **E**: -44.7 eV for the cell shown
# **Fermi-level density of states**: 1.059 states/eV per cell
# **Space-group type**: P2/m, No. 10
data_Pm2SmDySb4
_chemical_formula_sum 'Pm2 Sm1 Dy1 Sb4'
_cell_length_a 7.724
_cell_length_b 4.463
_cell_length_c 7.726
_cell_angle_alpha 90.00
_cell_angle_beta 109.48
_cell_angle_gamma 90.00
_space_group_name_H-M_alt 'P 1'
_space_group_IT_number 1
loop_
_space_group_symop_operation_xyz
'x,y,z'
loop_
_atom_site_label
_atom_site_type_symbol
_atom_site_fract_x
_atom_site_fract_y
_atom_site_fract_z
_atom_site_occupancy
Pm1 Pm 0.000 0.000 0.000 1
Pm2 Pm 0.000 0.500 0.500 1
Sm1 Sm 0.500 0.000 0.500 1
Dy1 Dy 0.500 0.500 0.000 1
Sb1 Sb 0.253 0.500 0.249 1
Sb2 Sb 0.255 0.000 0.754 1
Sb3 Sb 0.745 0.000 0.246 1
Sb4 Sb 0.747 0.500 0.751 1

Entry 2:
# PmSm2DySb4, optimized geometry, DFT PBE
# **Formation energy without anion corrections**: -1.166 eV/atom
# **E**: -44.6 eV for the cell shown
# **Fermi-level density of states**: 1.056 states/eV per cell
# **Space-group type**: P2/m, No. 10
data_PmSm2DySb4
_chemical_formula_sum 'Pm1 Sm2 Dy1 Sb4'
_cell_length_a 7.715
_cell_length_b 4.458
_cell_length_c 7.716
_cell_angle_alpha 90.00
_cell_angle_beta 109.48
_cell_angle_gamma 90.00
_space_group_name_H-M_alt 'P 1'
_space_group_IT_number 1
loop_
_space_group_symop_operation_xyz
'x,y,z'
loop_
_atom_site_label
_atom_site_type_symbol
_atom_site_fract_x
_atom_site_fract_y
_atom_site_fract_z
_atom_site_occupancy
Pm1 Pm 0.000 0.000 0.000 1
Sm1 Sm 0.500 0.000 0.500 1
Sm2 Sm 0.500 0.500 0.000 1
Dy1 Dy 0.000 0.500 0.500 1
Sb1 Sb 0.247 0.000 0.746 1
Sb2 Sb 0.249 0.500 0.253 1
Sb3 Sb 0.751 0.500 0.747 1
Sb4 Sb 0.753 0.000 0.254 1

Entry 3:
# PmDySnSb, optimized geometry, DFT PBE
# **Formation energy without anion corrections**: -0.649 eV/atom
# **E**: -20.1 eV for the cell shown
# **Fermi-level density of states**: 6.120 states/eV per cell
# **Space-group type**: F-43m, No. 216
data_PmDySnSb
_chemical_formula_sum 'Pm1 Dy1 Sn1 Sb1'
_cell_length_a 5.428
_cell_length_b 5.428
_cell_length_c 5.428
_cell_angle_alpha 60.00
_cell_angle_beta 60.00
_cell_angle_gamma 60.00
_space_group_name_H-M_alt 'P 1'
_space_group_IT_number 1
loop_
_space_group_symop_operation_xyz
'x,y,z'
loop_
_atom_site_label
_atom_site_type_symbol
_atom_site_fract_x
_atom_site_fract_y
_atom_site_fract_z
_atom_site_occupancy
Pm1 Pm 0.000 0.000 0.000 1
Dy1 Dy 0.500 0.500 0.500 1
Sn1 Sn 0.250 0.250 0.250 1
Sb1 Sb 0.750 0.750 0.750 1